First-principles (PBE) data for an optimized crystal structure of HgPdSe2N, as listed in the Alexandria database.

Output
* E_form (uncorrected): 0.71 eV per atom
* volume: 103 Å³ per cell

a b c (Å): 5.2823 5.2823 3.7022
angles (deg): 90.00 90.00 90.00
Closest atoms and distances in Å follow each position.
Element x y z (fractional)
Hg 0.0000 0.0000 0.0000  8 Se 3.23
Pd 0.5000 0.5000 0.5000  2 N 1.85
Se 0.0000 0.5000 0.5000  2 Pd 2.64
Se 0.5000 0.0000 0.5000  2 Pd 2.64
N 0.5000 0.5000 0.0000  2 Pd 1.85